Material: Y3Ni2Ge3
Method: DFT, PBE
State: optimized geometry

a = 5.5908 Å, b = 5.5908 Å, c = 14.1408 Å
α = 90.00°, β = 90.00°, γ = 135.76°
Fractional coordinates of all 16 atoms:
Y: 0.0876 0.9124 0.6089
Y: 0.0876 0.9124 0.8911
Y: 0.3667 0.6333 0.7500
Y: 0.6333 0.3667 0.2500
Y: 0.9124 0.0876 0.1089
Y: 0.9124 0.0876 0.3911
Ni: 0.2023 0.7977 0.0999
Ni: 0.2023 0.7977 0.4001
Ni: 0.7977 0.2023 0.5999
Ni: 0.7977 0.2023 0.9001
Ge: 0.3350 0.6650 0.2500
Ge: 0.3756 0.6244 0.5384
Ge: 0.3756 0.6244 0.9616
Ge: 0.6244 0.3756 0.0384
Ge: 0.6244 0.3756 0.4616
Ge: 0.6650 0.3350 0.7500

Results
Calculated formation energy, eV per atom: -0.83

=====

Material: GaHRh3
Method: DFT, PBE
State: optimized geometry

a = 7.0865 Å, b = 7.0865 Å, c = 4.8372 Å
α = 91.71°, β = 91.71°, γ = 99.89°
Fractional coordinates of all 20 atoms:
Ga: 0.0695 0.2095 0.0701
Ga: 0.2095 0.0695 0.5701
Ga: 0.7905 0.9305 0.4299
Ga: 0.9305 0.7905 0.9299
H: 0.3046 0.6954 0.2500
H: 0.4431 0.5569 0.7500
H: 0.5569 0.4431 0.2500
H: 0.6954 0.3046 0.7500
Rh: 0.0522 0.7123 0.4308
Rh: 0.1792 0.5654 0.9091
Rh: 0.2877 0.9478 0.0692
Rh: 0.3042 0.4372 0.4178
Rh: 0.4346 0.8208 0.5909
Rh: 0.4372 0.3042 0.9178
Rh: 0.5628 0.6958 0.0822
Rh: 0.5654 0.1792 0.4091
Rh: 0.6958 0.5628 0.5822
Rh: 0.7123 0.0522 0.9308
Rh: 0.8208 0.4346 0.0909
Rh: 0.9478 0.2877 0.5692

Results
Energy above the most stable polymorph in this dataset, eV/atom: 0.100

=====

Material: LiHfCl2F
Method: DFT, PBE
State: optimized geometry

a = 4.8207 Å, b = 4.8207 Å, c = 6.2435 Å
α = 90.00°, β = 90.00°, γ = 90.00°
Fractional coordinates of all 5 atoms:
Li: 0.0000 0.0000 0.0000
Hf: 0.0000 0.0000 0.5000
Cl: 0.0000 0.5000 0.5000
Cl: 0.5000 0.0000 0.5000
F: 0.5000 0.5000 0.0000

Results
Energy relative to the elements, uncorrected, kJ/mol of atoms: -86.7

=====

Material: CaSc5Zn6
Method: DFT, PBE
State: optimized geometry

a = 8.3152 Å, b = 8.3152 Å, c = 8.3152 Å
α = 146.37°, β = 131.92°, γ = 59.95°
Fractional coordinates of all 12 atoms:
Ca: 0.0000 0.0000 0.0000
Sc: 0.1619 0.6619 0.5000
Sc: 0.3302 0.3302 0.0000
Sc: 0.5000 0.0000 0.5000
Sc: 0.6698 0.6698 0.0000
Sc: 0.8381 0.3381 0.5000
Zn: 0.0903 0.8275 0.2628
Zn: 0.2765 0.5000 0.7765
Zn: 0.4353 0.1725 0.2628
Zn: 0.5647 0.8275 0.7372
Zn: 0.7235 0.5000 0.2235
Zn: 0.9097 0.1725 0.7372

Results
Calculated formation energy, eV per atom: -0.33

=====

Material: Dy3P2PtRh9
Method: DFT, PBE
State: optimized geometry

a = 6.0333 Å, b = 6.0333 Å, c = 9.0783 Å
α = 90.00°, β = 90.00°, γ = 120.00°
Fractional coordinates of all 15 atoms:
Dy: 0.0000 0.0000 0.0000
Dy: 0.3333 0.6667 0.6982
Dy: 0.6667 0.3333 0.3018
P: 0.3333 0.6667 0.1627
P: 0.6667 0.3333 0.8373
Pt: 0.0000 0.0000 0.5000
Rh: 0.0000 0.5000 0.0000
Rh: 0.1487 0.2974 0.2702
Rh: 0.1487 0.8513 0.2702
Rh: 0.2974 0.1487 0.7298
Rh: 0.5000 0.0000 0.0000
Rh: 0.5000 0.5000 0.0000
Rh: 0.7026 0.8513 0.2702
Rh: 0.8513 0.1487 0.7298
Rh: 0.8513 0.7026 0.7298

Results
Calculated formation energy, eV per atom: -0.54

=====

Material: NaScIr2
Method: DFT, PBE
State: optimized geometry

a = 9.6035 Å, b = 9.6035 Å, c = 9.6035 Å
α = 155.24°, β = 155.24°, γ = 35.30°
Fractional coordinates of all 8 atoms:
Na: 0.0000 0.0000 0.0000
Na: 0.7500 0.2500 0.5000
Sc: 0.2500 0.7500 0.5000
Sc: 0.5000 0.5000 0.0000
Ir: 0.1902 0.6250 0.0652
Ir: 0.3750 0.4402 0.5652
Ir: 0.5598 0.1250 0.9348
Ir: 0.8750 0.8098 0.4348

Results
Calculated formation energy, eV per atom: 0.39
Energy above the most stable polymorph in this dataset, eV/atom: 0.458

=====

Material: K2BeNi
Method: DFT, PBE
State: optimized geometry

a = 5.0922 Å, b = 5.0922 Å, c = 4.4092 Å
α = 90.00°, β = 90.00°, γ = 113.94°
Fractional coordinates of all 4 atoms:
K: 0.0000 0.5000 0.0000
K: 0.5000 0.0000 0.0000
Be: 0.0000 0.0000 0.5000
Ni: 0.5000 0.5000 0.5000

Results
Calculated formation energy, eV per atom: 1.03

=====

Material: Ac3Ga2Pd7
Method: DFT, PBE
State: optimized geometry

a = 15.0668 Å, b = 15.0668 Å, c = 4.2264 Å
α = 90.00°, β = 90.00°, γ = 163.42°
Fractional coordinates of all 12 atoms:
Ac: 0.0000 0.0000 0.0000
Ac: 0.1986 0.8014 0.0000
Ac: 0.8014 0.1986 0.0000
Ga: 0.4176 0.5824 0.5000
Ga: 0.5824 0.4176 0.5000
Pd: 0.1249 0.8751 0.5000
Pd: 0.2938 0.7062 0.5000
Pd: 0.3724 0.6276 0.0000
Pd: 0.5000 0.5000 0.5000
Pd: 0.6276 0.3724 0.0000
Pd: 0.7062 0.2938 0.5000
Pd: 0.8751 0.1249 0.5000

Results
Calculated formation energy, eV per atom: -0.64
Energy above the most stable polymorph in this dataset, eV/atom: 0.133

=====

| no. | raw total energy (eV per atom) |
| --- | --- |
| 1 | -6.432 |
| 2 | -5.879 |
| 3 | -4.385 |
| 4 | -3.770 |
| 5 | -6.997 |
| 6 | -5.951 |
| 7 | -1.898 |
| 8 | -5.203 |